Crystalline SiPd3 at its relaxed geometry. Source: the Alexandria database, functional GGA-PBEsol.

Lattice parameters (Å, degrees): 5.268 5.705 7.542 90.00 90.00 90.00
Positions (direct):
Si 0.972 0.600 0.750
Pd 0.181 0.682 0.452
Pd 0.819 0.318 0.952
Pd 0.409 0.497 0.750
Pd 0.909 0.003 0.250
Pd 0.591 0.503 0.250
Pd 0.681 0.818 0.548
Si 0.028 0.400 0.250
Pd 0.319 0.182 0.048
Pd 0.091 0.997 0.750
Pd 0.181 0.682 0.048
Pd 0.681 0.818 0.952
Si 0.472 0.900 0.250
Si 0.528 0.100 0.750
Pd 0.319 0.182 0.452
Pd 0.819 0.318 0.548

Values from the calculation:
- VASP energy: -6.55 eV/atom
- Calculated volume: 14.167 Å³/atom

***

Crystalline SmSiPd at its relaxed geometry. Source: the Alexandria database, functional GGA-PBEsol.

Lattice parameters (Å, degrees): 3.656 4.309 4.309 120.00 90.00 90.00
Positions (direct):
Sm 0.000 0.000 0.000
Pd 0.500 0.667 0.333
Si 0.500 0.333 0.667

Values from the calculation:
- VASP energy: -6.55 eV/atom
- Calculated volume: 19.599 Å³/atom

***

Crystalline SmSiPd at its relaxed geometry. Source: the Alexandria database, functional GGA-PBEsol.

Lattice parameters (Å, degrees): 4.327 7.094 7.427 90.00 90.00 90.00
Positions (direct):
Si 0.750 0.691 0.411
Pd 0.750 0.311 0.417
Pd 0.250 0.689 0.583
Pd 0.750 0.811 0.083
Sm 0.750 0.004 0.699
Pd 0.250 0.189 0.917
Sm 0.250 0.496 0.199
Si 0.250 0.309 0.589
Si 0.250 0.809 0.911
Sm 0.750 0.504 0.801
Sm 0.250 0.996 0.301
Si 0.750 0.191 0.089

Values from the calculation:
- VASP energy: -6.58 eV/atom
- Calculated volume: 18.997 Å³/atom

***

Crystalline Sm4Si3Pd4 at its relaxed geometry. Source: the Alexandria database, functional GGA-PBEsol.

Lattice parameters (Å, degrees): 5.517 7.864 10.794 108.10 104.81 90.00
Positions (direct):
Sm 0.201 0.168 0.134
Sm 0.799 0.832 0.866
Pd 0.637 0.700 0.551
Si 0.656 0.250 0.000
Si 0.295 0.547 0.342
Sm 0.067 0.332 0.866
Sm 0.455 0.105 0.661
Si 0.705 0.453 0.658
Pd 0.915 0.200 0.551
Pd 0.437 0.516 0.130
Pd 0.563 0.484 0.870
Pd 0.307 0.984 0.870
Pd 0.085 0.800 0.449
Pd 0.693 0.016 0.130
Sm 0.933 0.668 0.134
Sm 0.206 0.605 0.661
Si 0.047 0.047 0.342
Sm 0.545 0.895 0.339
Si 0.344 0.750 0.000
Pd 0.363 0.300 0.449
Sm 0.794 0.395 0.339
Si 0.953 0.953 0.658

Values from the calculation:
- VASP energy: -6.52 eV/atom
- Calculated volume: 19.490 Å³/atom

***

Crystalline Sm2Si5Pd3 at its relaxed geometry. Source: the Alexandria database, functional GGA-PBEsol.

Lattice parameters (Å, degrees): 5.907 8.160 8.160 74.44 68.78 68.78
Positions (direct):
Si 0.750 0.000 0.000
Si 0.525 0.725 0.725
Pd 0.862 0.028 0.247
Sm 0.629 0.105 0.638
Pd 0.362 0.247 0.028
Si 0.025 0.725 0.725
Si 0.250 0.000 0.000
Si 0.475 0.275 0.275
Si 0.975 0.275 0.275
Pd 0.638 0.753 0.972
Si 0.387 0.461 0.765
Sm 0.371 0.895 0.362
Sm 0.129 0.638 0.105
Pd 0.138 0.972 0.753
Pd 0.750 0.500 0.500
Si 0.887 0.765 0.461
Pd 0.250 0.500 0.500
Si 0.613 0.539 0.235
Si 0.113 0.235 0.539
Sm 0.871 0.362 0.895

Values from the calculation:
- VASP energy: -6.60 eV/atom
- Calculated volume: 16.873 Å³/atom

***

Crystalline SmSi2Pd2 at its relaxed geometry. Source: the Alexandria database, functional GGA-PBEsol.

Lattice parameters (Å, degrees): 4.139 4.139 5.754 111.08 111.08 90.00
Positions (direct):
Pd 0.250 0.750 0.500
Sm 0.000 0.000 0.000
Si 0.382 0.382 0.764
Si 0.618 0.618 0.236
Pd 0.750 0.250 0.500

Values from the calculation:
- VASP energy: -6.71 eV/atom
- Calculated volume: 16.974 Å³/atom

***

Number 1: ΔE_f (raw) -0.65 eV/atom. Number 2: ΔE_f (raw) -0.95 eV/atom. Number 3: ΔE_f (raw) -0.98 eV/atom. Number 4: ΔE_f (raw) -0.93 eV/atom. Number 5: ΔE_f (raw) -0.92 eV/atom. Number 6: ΔE_f (raw) -1.01 eV/atom.